The following is a PBE with a Hubbard U calculation of a geometry-optimized Mn3SbO8 structure, from Alexandria via LeMat-Bulk.

Output
Excess energy over the best structure of this formula in the dataset (meV per atom): 0

a = 5.9192 Å, b = 5.9192 Å, c = 9.3165 Å
α = 90.00°, β = 90.00°, γ = 120.00°
Closest atoms and distances in Å follow each position.
Space group P6_3mc (No. 186)
Inequivalent atoms, fractional coordinates:
Mn1 0.1677 0.3354 0.0000  6 O 1.93-2.01
Sb1 0.3333 0.6667 0.2782  6 O 2.00-2.06
O1 0.0000 0.0000 0.0946  3 Mn 1.93
O2 0.0384 0.5192 0.1284  2 Mn 2.01, 1 Sb 2.06
O3 0.1667 0.3335 0.3890  1 Sb 2.00, 2 Mn 2.00
O4 0.3333 0.6667 0.9001  3 Mn 1.94